CrFe2Te | PBE-GGA | optimized geometry

a = 9.6425 Å, b = 9.6425 Å, c = 9.6425 Å
α = 157.63°, β = 157.63°, γ = 31.84°
Closest atoms and distances in Å follow each position.
Atoms (fractional coordinates):
Cr 0.0000 0.0000 0.0000  4 Te 2.64, 4 Fe 2.65
Cr 0.7500 0.2500 0.5000  4 Te 2.64, 4 Fe 2.65
Fe 0.1093 0.6250 0.9843  4 Fe 2.56-2.73, 2 Cr 2.65, 2 Te 2.69
Fe 0.3750 0.3593 0.4843  4 Fe 2.56-2.73, 2 Cr 2.65, 2 Te 2.69
Fe 0.6407 0.1250 0.0157  4 Fe 2.56-2.73, 2 Cr 2.65, 2 Te 2.69
Fe 0.8750 0.8907 0.5157  4 Fe 2.56-2.73, 2 Cr 2.65, 2 Te 2.69
Te 0.2500 0.7500 0.5000  4 Cr 2.64, 4 Fe 2.69
Te 0.5000 0.5000 0.0000  4 Cr 2.64, 4 Fe 2.69

ΔE_f (raw) ... 614 meV per atom
Space-group type ... I-42d, No. 122
Density of states at the Fermi level ... 3.5 states/eV/f.u.
Volume ... 64.9 Å³/f.u.

***

CrFeTe | PBE-GGA | optimized geometry

a = 9.9997 Å, b = 9.9997 Å, c = 3.9476 Å
α = 90.00°, β = 90.00°, γ = 162.84°
Closest atoms and distances in Å follow each position.
Atoms (fractional coordinates):
Cr 0.0758 0.9242 0.7500  6 Fe 2.60-2.62
Cr 0.9242 0.0758 0.2500  6 Fe 2.60-2.62
Fe 0.4682 0.5318 0.7500  2 Fe 2.34, 1 Te 2.58, 2 Cr 2.60
Fe 0.5318 0.4682 0.2500  2 Fe 2.34, 1 Te 2.58, 2 Cr 2.60
Te 0.3378 0.6622 0.7500  1 Fe 2.58
Te 0.6622 0.3378 0.2500  1 Fe 2.58

ΔE_f (raw) ... 162 meV per atom
Space-group type ... Cmcm, No. 63
Density of states at the Fermi level ... 1.9 states/eV/f.u.
Volume ... 58.2 Å³/f.u.

***

CrFeTe2 | PBE-GGA | optimized geometry

a = 7.7752 Å, b = 7.7752 Å, c = 7.7752 Å
α = 151.56°, β = 151.56°, γ = 40.65°
Closest atoms and distances in Å follow each position.
Atoms (fractional coordinates):
Cr 0.0000 0.0000 0.0000  4 Te 2.70
Fe 0.2500 0.7500 0.5000  4 Te 2.70
Te 0.5000 0.5000 0.0000  4 Cr 2.70
Te 0.7500 0.2500 0.5000  4 Fe 2.70

ΔE_f (raw) ... 532 meV per atom
Space-group type ... I-4m2, No. 119
Density of states at the Fermi level ... 5.6 states/eV/f.u.
Volume ... 106.4 Å³/f.u.

***

CrFe2Te | PBE-GGA | optimized geometry

a = 3.8728 Å, b = 3.8728 Å, c = 3.5700 Å
α = 90.00°, β = 90.00°, γ = 90.00°
Closest atoms and distances in Å follow each position.
Atoms (fractional coordinates):
Cr 0.0000 0.0000 0.0000  8 Fe 2.63, 4 Te 2.74
Fe 0.0000 0.5000 0.5000  4 Cr 2.63, 4 Te 2.63, 4 Fe 2.74
Fe 0.5000 0.0000 0.5000  4 Cr 2.63, 4 Te 2.63, 4 Fe 2.74
Te 0.5000 0.5000 0.0000  8 Fe 2.63, 4 Cr 2.74

ΔE_f (raw) ... 362 meV per atom
Space-group type ... P4/mmm, No. 123
Density of states at the Fermi level ... 4.2 states/eV/f.u.
Volume ... 53.5 Å³/f.u.

***

ThCrFe4 | PBE-GGA | optimized geometry

a = 5.0253 Å, b = 5.0253 Å, c = 5.0253 Å
α = 60.00°, β = 60.00°, γ = 60.00°
Closest atoms and distances in Å follow each position.
Atoms (fractional coordinates):
Th 0.0000 0.0000 0.0000  12 Fe 2.95, 4 Cr 3.08
Cr 0.2500 0.2500 0.2500  12 Fe 2.94, 4 Th 3.08
Fe 0.1289 0.6237 0.6237  6 Fe 2.49-2.54
Fe 0.6237 0.1289 0.6237  6 Fe 2.49-2.54
Fe 0.6237 0.6237 0.1289  6 Fe 2.49-2.54
Fe 0.6237 0.6237 0.6237  6 Fe 2.49-2.54

Space-group type ... F-43m, No. 216
Density of states at the Fermi level ... 9.1 states/eV/f.u.
Formation energy from the elements ... 0.153 eV/atom
Volume ... 89.7 Å³/f.u.

***

Th2CrFe9 | PBE-GGA | optimized geometry

a = 8.7346 Å, b = 8.7346 Å, c = 8.7346 Å
α = 33.44°, β = 33.44°, γ = 33.44°
Closest atoms and distances in Å follow each position.
Atoms (fractional coordinates):
Th 0.1381 0.1381 0.1381  12 Fe 2.91-3.23, 3 Th 3.23
Th 0.8619 0.8619 0.8619  12 Fe 2.91-3.23, 3 Th 3.23
Cr 0.0000 0.0000 0.0000  18 Fe 2.90-3.18
Fe 0.0802 0.5779 0.5779  7 Fe 2.42-2.61
Fe 0.3329 0.3329 0.3329  6 Fe 2.42-2.43
Fe 0.4221 0.4221 0.9198  7 Fe 2.42-2.61
Fe 0.4221 0.9198 0.4221  7 Fe 2.42-2.61
Fe 0.5000 0.5000 0.5000  6 Fe 2.61
Fe 0.5779 0.0802 0.5779  7 Fe 2.42-2.61
Fe 0.5779 0.5779 0.0802  7 Fe 2.42-2.61
Fe 0.6671 0.6671 0.6671  6 Fe 2.42-2.43
Fe 0.9198 0.4221 0.4221  7 Fe 2.42-2.61

Space-group type ... R-3m, No. 166
Density of states at the Fermi level ... 11.3 states/eV/f.u.
Formation energy from the elements ... 0.141 eV/atom
Volume ... 180.2 Å³/f.u.

***

Ti6CrFe5 | PBE-GGA | optimized geometry

a = 7.2624 Å, b = 7.2624 Å, c = 7.2624 Å
α = 146.44°, β = 131.82°, γ = 59.99°
Closest atoms and distances in Å follow each position.
Atoms (fractional coordinates):
Ti 0.0827 0.3329 0.7497  7 Fe 2.56-2.57, 1 Cr 2.57
Ti 0.2491 0.0000 0.2491  6 Fe 2.56-2.58, 2 Cr 2.57
Ti 0.4168 0.6671 0.7497  7 Fe 2.56-2.57, 1 Cr 2.57
Ti 0.5832 0.3329 0.2503  7 Fe 2.56-2.57, 1 Cr 2.57
Ti 0.7509 0.0000 0.7509  6 Fe 2.56-2.58, 2 Cr 2.57
Ti 0.9173 0.6671 0.2503  7 Fe 2.56-2.57, 1 Cr 2.57
Cr 0.5000 0.5000 0.0000  8 Ti 2.57
Fe 0.0000 0.5000 0.5000  8 Ti 2.56-2.57
Fe 0.1671 0.1671 0.0000  8 Ti 2.56-2.57
Fe 0.3327 0.8327 0.5000  8 Ti 2.56-2.58
Fe 0.6673 0.1673 0.5000  8 Ti 2.56-2.58
Fe 0.8329 0.8329 0.0000  8 Ti 2.56-2.57

Space-group type ... Immm, No. 71
Density of states at the Fermi level ... 8.6 states/eV/f.u.
Formation energy from the elements ... -0.333 eV/atom
Volume ... 156.3 Å³/f.u.

***

TiCrFe3 | PBE-GGA | optimized geometry

a = 4.1393 Å, b = 4.1393 Å, c = 4.1393 Å
α = 90.00°, β = 90.00°, γ = 90.00°
Closest atoms and distances in Å follow each position.
Atoms (fractional coordinates):
Ti 0.0000 0.0000 0.0000  6 Fe 2.07
Cr 0.5000 0.5000 0.5000  12 Fe 2.93
Fe 0.0000 0.0000 0.5000  2 Ti 2.07
Fe 0.0000 0.5000 0.0000  2 Ti 2.07
Fe 0.5000 0.0000 0.0000  2 Ti 2.07

Space-group type ... Pm-3m, No. 221
Density of states at the Fermi level ... 14.7 states/eV/f.u.
Formation energy from the elements ... 1.557 eV/atom
Volume ... 70.9 Å³/f.u.

***

TiCr2Fe2 | PBE-GGA | optimized geometry

a = 6.8649 Å, b = 6.8649 Å, c = 2.5768 Å
α = 90.00°, β = 90.00°, γ = 90.00°
Closest atoms and distances in Å follow each position.
Atoms (fractional coordinates):
Ti 0.0000 0.0000 0.0000  2 Ti 2.58, 4 Cr 2.60
Ti 0.5000 0.5000 0.0000  2 Ti 2.58, 4 Cr 2.60
Cr 0.1526 0.3474 0.0000  6 Fe 2.37-2.40, 2 Cr 2.58, 2 Ti 2.60
Cr 0.3474 0.8474 0.0000  6 Fe 2.37-2.40, 2 Cr 2.58, 2 Ti 2.60
Cr 0.6526 0.1526 0.0000  6 Fe 2.37-2.40, 2 Cr 2.58, 2 Ti 2.60
Cr 0.8474 0.6526 0.0000  6 Fe 2.37-2.40, 2 Cr 2.58, 2 Ti 2.60
Fe 0.1431 0.6431 0.5000  6 Cr 2.37-2.40, 2 Fe 2.58
Fe 0.3569 0.1431 0.5000  6 Cr 2.37-2.40, 2 Fe 2.58
Fe 0.6431 0.8569 0.5000  6 Cr 2.37-2.40, 2 Fe 2.58
Fe 0.8569 0.3569 0.5000  6 Cr 2.37-2.40, 2 Fe 2.58

Space-group type ... P4/mbm, No. 127
Density of states at the Fermi level ... 5.1 states/eV/f.u.
Formation energy from the elements ... 0.120 eV/atom
Volume ... 60.7 Å³/f.u.

***

TiCrFe2 | PBE-GGA | optimized geometry

a = 4.1079 Å, b = 4.1079 Å, c = 2.8515 Å
α = 90.00°, β = 90.00°, γ = 90.00°
Closest atoms and distances in Å follow each position.
Atoms (fractional coordinates):
Ti 0.0000 0.0000 0.0000  8 Fe 2.50
Cr 0.5000 0.5000 0.0000  8 Fe 2.50
Fe 0.0000 0.5000 0.5000  4 Cr 2.50, 4 Ti 2.50
Fe 0.5000 0.0000 0.5000  4 Cr 2.50, 4 Ti 2.50

Space-group type ... P4/mmm, No. 123
Density of states at the Fermi level ... 6.1 states/eV/f.u.
Formation energy from the elements ... -0.063 eV/atom
Volume ... 48.1 Å³/f.u.

***

TiCrFe2 | PBE-GGA | optimized geometry

a = 5.2246 Å, b = 5.2246 Å, c = 5.2246 Å
α = 103.02°, β = 103.02°, γ = 123.33°
Closest atoms and distances in Å follow each position.
Atoms (fractional coordinates):
Ti 0.0000 0.0000 0.0000  2 Cr 2.48, 4 Fe 2.52
Ti 0.7500 0.2500 0.5000  2 Cr 2.48, 4 Fe 2.52
Cr 0.2500 0.7500 0.5000  4 Fe 2.26, 2 Ti 2.48
Cr 0.5000 0.5000 0.0000  4 Fe 2.26, 2 Ti 2.48
Fe 0.1544 0.1250 0.5294  2 Cr 2.26, 2 Fe 2.51, 2 Ti 2.52
Fe 0.3750 0.8456 0.9706  2 Cr 2.26, 2 Fe 2.51, 2 Ti 2.52
Fe 0.5956 0.6250 0.4706  2 Cr 2.26, 2 Fe 2.51, 2 Ti 2.52
Fe 0.8750 0.4044 0.0294  2 Cr 2.26, 2 Fe 2.51, 2 Ti 2.52

Space-group type ... I-42d, No. 122
Density of states at the Fermi level ... 4.9 states/eV/f.u.
Formation energy from the elements ... 0.388 eV/atom
Volume ... 52.4 Å³/f.u.

***

TiCrFe3 | PBE-GGA | optimized geometry

a = 4.1460 Å, b = 4.1460 Å, c = 4.1460 Å
α = 90.00°, β = 90.00°, γ = 90.00°
Closest atoms and distances in Å follow each position.
Atoms (fractional coordinates):
Ti 0.0000 0.0000 0.0000  12 Fe 2.93
Cr 0.5000 0.5000 0.5000  6 Fe 2.07
Fe 0.0000 0.5000 0.5000  2 Cr 2.07
Fe 0.5000 0.0000 0.5000  2 Cr 2.07
Fe 0.5000 0.5000 0.0000  2 Cr 2.07

Space-group type ... Pm-3m, No. 221
Density of states at the Fermi level ... 5.8 states/eV/f.u.
Formation energy from the elements ... 0.843 eV/atom
Volume ... 71.3 Å³/f.u.

***

What did the tenth record say?
TiCrFe2 | PBE-GGA | optimized geometry

a = 4.1079 Å, b = 4.1079 Å, c = 2.8515 Å
α = 90.00°, β = 90.00°, γ = 90.00°
Closest atoms and distances in Å follow each position.
Atoms (fractional coordinates):
Ti 0.0000 0.0000 0.0000  8 Fe 2.50
Cr 0.5000 0.5000 0.0000  8 Fe 2.50
Fe 0.0000 0.5000 0.5000  4 Cr 2.50, 4 Ti 2.50
Fe 0.5000 0.0000 0.5000  4 Cr 2.50, 4 Ti 2.50

Space-group type ... P4/mmm, No. 123
Density of states at the Fermi level ... 6.1 states/eV/f.u.
Formation energy from the elements ... -0.063 eV/atom
Volume ... 48.1 Å³/f.u.

***

Q: What is the formula in the fourth record?
A: CrFe2Te

***

Q: Which of these has the lowest density of states at the Fermi level?
A: CrFeTe